Entry from Alexandria via LeMat-Bulk: a relaxed Rb12Tl3Ag5 crystal (GGA-PBE).

a b c (Å): 18.763 18.763 18.763
angles (deg): 109.47 109.47 109.47
Positions (direct):
1 Ag 0.625 0.875 0.250
2 Ag 0.125 0.375 0.250
3 Rb 0.416 0.046 0.327
4 Rb 0.673 0.219 0.589
5 Ag 0.875 0.250 0.625
6 Tl 0.750 0.875 0.625
7 Tl 0.625 0.375 0.750
8 Rb 0.630 0.046 0.219
9 Rb 0.911 0.084 0.630
10 Rb 0.130 0.411 0.084
11 Rb 0.084 0.173 0.454
12 Rb 0.546 0.219 0.130
13 Ag 0.500 0.500 0.000
14 Rb 0.281 0.411 0.827
15 Ag 0.625 0.750 0.875
16 Rb 0.454 0.673 0.084
17 Ag 0.125 0.750 0.375
18 Rb 0.546 0.327 0.916
19 Rb 0.089 0.173 0.219
20 Rb 0.584 0.630 0.411
21 Tl 0.625 0.250 0.375
22 Rb 0.281 0.870 0.954
23 Ag 0.750 0.125 0.875
24 Rb 0.089 0.916 0.370
25 Rb 0.411 0.281 0.327
26 Rb 0.370 0.416 0.089
27 Rb 0.954 0.584 0.173
28 Ag 0.500 0.000 0.000
29 Rb 0.370 0.954 0.781
30 Rb 0.173 0.084 0.954
31 Ag 0.375 0.250 0.125
32 Rb 0.719 0.130 0.046
33 Rb 0.719 0.589 0.173
34 Tl 0.375 0.750 0.625
35 Ag 0.000 0.500 0.500
36 Rb 0.084 0.911 0.130
37 Tl 0.750 0.375 0.125
38 Ag 0.500 0.000 0.500
39 Rb 0.173 0.089 0.719
40 Rb 0.130 0.719 0.546
41 Rb 0.781 0.327 0.911
42 Rb 0.827 0.916 0.046
43 Rb 0.827 0.911 0.281
44 Tl 0.875 0.750 0.125
45 Tl 0.125 0.250 0.875
46 Rb 0.630 0.584 0.911
47 Rb 0.954 0.370 0.281
48 Ag 0.250 0.875 0.125
49 Rb 0.219 0.546 0.630
50 Rb 0.870 0.281 0.454
51 Ag 0.250 0.375 0.625
52 Rb 0.219 0.673 0.089
53 Rb 0.589 0.870 0.416
54 Ag 0.000 0.500 0.000
55 Ag 0.750 0.625 0.375
56 Rb 0.327 0.781 0.411
57 Rb 0.916 0.827 0.546
58 Tl 0.250 0.625 0.875
59 Rb 0.781 0.454 0.370
60 Rb 0.673 0.454 0.584
61 Rb 0.454 0.781 0.870
62 Ag 0.000 0.000 0.000
63 Rb 0.411 0.130 0.584
64 Ag 0.500 0.500 0.500
65 Rb 0.046 0.416 0.827
66 Tl 0.125 0.875 0.750
67 Rb 0.870 0.589 0.916
68 Ag 0.000 0.000 0.500
69 Tl 0.250 0.125 0.375
70 Rb 0.584 0.954 0.673
71 Rb 0.327 0.546 0.416
72 Rb 0.916 0.089 0.870
73 Ag 0.375 0.125 0.750
74 Tl 0.375 0.625 0.250
75 Rb 0.911 0.827 0.781
76 Tl 0.875 0.125 0.250
77 Ag 0.875 0.625 0.750
78 Rb 0.046 0.630 0.719
79 Rb 0.589 0.719 0.673
80 Rb 0.416 0.370 0.589

Results
formation energy = 170 meV per atom